Entry 1:
This record from Alexandria describes an optimized crystal structure of LuBi2Pb. The functional is PBE.

Cell lengths 5.399, 5.399, 4.092 Å; angles 90.00, 90.00, 90.00 degrees
Positions (direct):
Lu  0.000  0.000  0.000
Bi  0.000  0.500  0.500
Bi  0.500  0.000  0.500
Pb  0.500  0.500  0.000

Properties
Energy of formation, kJ per mole of atoms: -22
Energy above the lowest structure with this stoichiometry, kJ/mol of formula units: 14
Total moment, μB/cell: 0.000


Entry 2:
This record from Alexandria describes an optimized crystal structure of YTaC3. The functional is PBE.

Cell lengths 4.209, 4.209, 4.209 Å; angles 90.00, 90.00, 90.00 degrees
Positions (direct):
Y  0.000  0.000  0.000
Ta  0.500  0.500  0.500
C  0.000  0.000  0.500
C  0.000  0.500  0.000
C  0.500  0.000  0.000

Properties
Energy of formation, kJ per mole of atoms: 259
Energy above the lowest structure with this stoichiometry, kJ/mol of formula units: 936
Total moment, μB/cell: 0.000


Entry 3:
This record from Alexandria describes an optimized crystal structure of Pm2NdSc5. The functional is PBE.

Cell lengths 6.750, 6.750, 6.750 Å; angles 118.33, 118.33, 92.91 degrees
Positions (direct):
Pm  0.000  0.500  0.500
Pm  0.500  0.000  0.500
Nd  0.000  0.000  0.000
Sc  0.000  0.000  0.500
Sc  0.000  0.500  0.000
Sc  0.500  0.000  0.000
Sc  0.500  0.500  0.000
Sc  0.500  0.500  0.500

Properties
Energy of formation, kJ per mole of atoms: 6
Total moment, μB/cell: 0.000


Entry 4:
This record from Alexandria describes an optimized crystal structure of KLiGaI3. The functional is PBE.

Cell lengths 10.056, 4.695, 10.675 Å; angles 90.00, 100.71, 90.00 degrees
Positions (direct):
K  0.172  0.250  0.206
K  0.828  0.750  0.794
Li  0.093  0.250  0.599
Li  0.907  0.750  0.401
Ga  0.351  0.750  0.856
Ga  0.649  0.250  0.144
I  0.108  0.250  0.857
I  0.186  0.750  0.500
I  0.420  0.750  0.151
I  0.580  0.250  0.849
I  0.814  0.250  0.500
I  0.892  0.750  0.143

Properties
E_form (uncorrected), eV/atom: -1.00
Total moment, μB/cell: 0.000